! In15SnO24, relaxed, DFT PBE-GGA; values from VASP
&SYSTEM
  ibrav = 0, nat = 40, ntyp = 3
/
ATOMIC_SPECIES
O 16.00 O.upf
In 114.82 In.upf
Sn 118.71 Sn.upf
ATOMIC_POSITIONS crystal
O 0.0397 0.2635 0.0458
O 0.2278 0.4941 0.4561
In 0.2506 0.2847 0.5334
O 0.9603 0.7365 0.9542
In 0.0342 0.2499 0.7825
O 0.0458 0.0397 0.2635
O 0.2361 0.7300 0.7745
In 0.7153 0.4666 0.7494
O 0.2255 0.7639 0.2700
O 0.7639 0.2700 0.2255
O 0.7300 0.7745 0.2361
Sn 0.0000 0.0000 0.0000
In 0.9658 0.7501 0.2175
O 0.2700 0.2255 0.7639
In 0.7501 0.2175 0.9658
O 0.4662 0.0074 0.7383
O 0.5059 0.5439 0.7722
In 0.7825 0.0342 0.2499
In 0.5000 0.5000 0.0000
In 0.4666 0.7494 0.7153
In 0.7494 0.7153 0.4666
O 0.9542 0.9603 0.7365
In 0.5334 0.2506 0.2847
O 0.7365 0.9542 0.9603
O 0.7383 0.4662 0.0074
O 0.2617 0.5338 0.9926
In 0.0000 0.5000 0.5000
O 0.4941 0.4561 0.2278
In 0.2499 0.7825 0.0342
O 0.7745 0.2361 0.7300
O 0.2635 0.0458 0.0397
In 0.2847 0.5334 0.2506
O 0.5439 0.7722 0.5059
O 0.4561 0.2278 0.4941
In 0.5000 0.0000 0.5000
O 0.9926 0.2617 0.5338
O 0.0074 0.7383 0.4662
O 0.5338 0.9926 0.2617
O 0.7722 0.5059 0.5439
In 0.2175 0.9658 0.7501
CELL_PARAMETERS angstrom
-8.0435 -1.5328 3.5568
3.3607 -7.6521 -3.1383
5.4408 3.2747 6.2747
! Magnetic moment   0.00 μB/f.u.
! Electronic total energy   -227.44 eV per formula unit
! Crystal system   trigonal